# HfCoF6

Crystalline HfCoF6 at its relaxed geometry (PBE with a Hubbard U, the Alexandria database).

Lattice parameters (Å, degrees): 5.1549 8.8178 5.1557 90.00 102.89 90.00
Fractional coordinates of all 16 atoms:
1 Hf 0.0000 0.0000 0.0000
2 Hf 0.5000 0.5000 0.0000
3 Co 0.0000 0.5000 0.5000
4 Co 0.5000 0.0000 0.5000
5 F 0.2432 0.1466 0.2397
6 F 0.2432 0.8534 0.2397
7 F 0.2469 0.0000 0.7487
8 F 0.2531 0.5000 0.2513
9 F 0.2568 0.3534 0.7603
10 F 0.2568 0.6466 0.7603
11 F 0.7432 0.3534 0.2397
12 F 0.7432 0.6466 0.2397
13 F 0.7469 0.5000 0.7487
14 F 0.7531 0.0000 0.2513
15 F 0.7568 0.1466 0.7603
16 F 0.7568 0.8534 0.7603

Properties
V ... 228 Å³/cell
Crystal system ... monoclinic
Uncorrected energy ... -6.420 eV per atom